VASP calculation (PBE) on an optimized crystal structure of NdSnPdRu.

Structure (CIF):
```
data_NdSnPdRu
_chemical_formula_sum 'Nd1 Sn1 Pd1 Ru1'
_cell_length_a 4.828
_cell_length_b 4.828
_cell_length_c 4.828
_cell_angle_alpha 60.00
_cell_angle_beta 60.00
_cell_angle_gamma 60.00
_space_group_name_H-M_alt 'P 1'
_space_group_IT_number 1
loop_
_space_group_symop_operation_xyz
'x,y,z'
loop_
_atom_site_label
_atom_site_type_symbol
_atom_site_fract_x
_atom_site_fract_y
_atom_site_fract_z
Nd1 Nd 0.000 0.000 0.000
Sn1 Sn 0.500 0.500 0.500
Pd1 Pd 0.250 0.250 0.250
Ru1 Ru 0.750 0.750 0.750
```

Values from the calculation:
* formation enthalpy at 0 K: -0.42 eV per atom
* SG: F-43m, No. 216
* N(E_F): 3.50 states/eV/f.u.